No. 1
TiMnWS2, optimized geometry, DFT PBE; Fermi-level density of states = 4.9 states/eV per cell; uncorrected formation energy = 0.587 eV per atom; size of the total moment = 0.84 μB per cell
1.0
4.611 0.000 0.000
0.000 4.611 0.000
0.000 0.000 4.792
Ti Mn W S
1 1 1 2
Direct
0.000 0.000 0.000
0.500 0.500 0.000
0.500 0.500 0.500
0.000 0.500 0.500
0.500 0.000 0.500

No. 2
LaHoScTl, optimized geometry, DFT PBE; Fermi-level density of states = 4.7 states/eV per cell; ΔH_f (0 K) = -0.3 eV per formula unit; size of the total moment = 1.25 μB per cell
1.0
0.000 3.868 3.868
3.868 0.000 3.868
3.868 3.868 0.000
La Ho Sc Tl
1 1 1 1
Direct
0.000 0.000 0.000
0.500 0.500 0.500
0.250 0.250 0.250
0.750 0.750 0.750

No. 3
CsMgNO2, optimized geometry, DFT PBE; Fermi-level density of states = 4.1 states/eV per cell; uncorrected formation energy = 1.063 eV per atom; size of the total moment = 0.00 μB per cell
1.0
4.413 0.000 0.000
0.000 4.413 0.000
0.000 0.000 4.388
Cs Mg N O
1 1 1 2
Direct
0.000 0.000 0.000
0.500 0.500 0.500
0.000 0.000 0.500
0.000 0.500 0.000
0.500 0.000 0.000

No. 4
Rb3Ce2PdS6, optimized geometry, DFT PBE; Fermi-level density of states = 8.0 states/eV per cell; uncorrected formation energy = -1.349 eV per atom; size of the total moment = 1.08 μB per cell
1.0
3.763 -5.861 0.000
3.763 5.861 0.000
-2.920 0.000 7.667
Rb Ce Pd S
3 2 1 6
Direct
0.000 0.000 0.000
0.331 0.669 0.000
0.669 0.331 0.000
0.168 0.832 0.500
0.832 0.168 0.500
0.500 0.500 0.500
0.131 0.432 0.328
0.194 0.194 0.722
0.432 0.131 0.328
0.568 0.869 0.672
0.806 0.806 0.278
0.869 0.568 0.672

No. 5
Ba4La2SbRuO12, optimized geometry, DFT PBE; uncorrected formation energy = -2.487 eV per atom; size of the total moment = 3.00 μB per cell
1.0
6.111 0.000 0.000
-3.007 5.321 0.000
-3.003 -1.792 10.058
Ba La Sb Ru O
4 2 1 1 12
Direct
0.242 0.124 0.371
0.254 0.631 0.882
0.746 0.369 0.118
0.758 0.876 0.629
0.498 0.749 0.251
0.502 0.251 0.749
0.000 0.500 0.500
0.000 0.000 0.000
0.172 0.587 0.356
0.191 0.097 0.867
0.224 0.360 0.095
0.232 0.870 0.592
0.269 0.924 0.111
0.280 0.428 0.608
0.720 0.572 0.392
0.731 0.076 0.889
0.768 0.130 0.408
0.776 0.640 0.905
0.809 0.903 0.133
0.828 0.413 0.644